Here is an optimized crystal structure of TmTaRuRh from Alexandria via LeMat-Bulk. Energies are from PBE.

The calculation puts the formation energy at -0.496 eV/atom. The magnetic moment comes out at 0.000 μB per atom. The total energy comes out at -8.73 eV/atom. As for the crystal system: cubic.

The space group is F-43m (No. 216) and the conventional cell measures 6.5247, 6.5247 and 6.5247 Å, with angles of 90.00, 90.00 and 90.00 degrees. Symmetry generates all atoms from Tm at (0.0000, 0.0000, 0.0000), Ta at (0.0000, 0.0000, 0.5000), Ru at (0.2500, 0.2500, 0.7500) and Rh at (0.2500, 0.2500, 0.2500).